The following is a PBE calculation of an optimized crystal structure of Ba2ZrF8, from Alexandria.

The structure belongs to space group Pnma (No. 62); the cell edges are 9.9877, 5.7130 and 12.0367 Å and the angles 90.00°, 90.00° and 90.00°. Symmetry generates all atoms from Ba at (0.0479, 0.2500, 0.1595), Ba at (0.1373, 0.2500, 0.5592), Zr at (0.2412, 0.7500, 0.3595), F at (0.0942, 0.0126, 0.3611), F at (0.1410, 0.7500, 0.1919), F at (0.1429, 0.7500, 0.5236), F at (0.1462, 0.0172, 0.9651) and F at (0.1548, 0.0138, 0.7563).

Its distance to the lowest polymorph of the same formula is 0.000 eV per atom. The calculation puts the formation energy without anion corrections at -3.854 eV/atom. The calculation puts the total magnetic moment at 0.1 μB/f.u.

The following is a PBE calculation of an optimized crystal structure of BaZrF2, from Alexandria.

The structure belongs to space group I-42d (No. 122); the cell edges are 4.8774, 4.8774 and 14.0514 Å and the angles 90.00°, 90.00° and 90.00°. Symmetry generates all atoms from Ba at (0.0000, 0.0000, 0.0000), Zr at (0.0000, 0.0000, 0.5000) and F at (0.0660, 0.2500, 0.6250).

Its distance to the lowest polymorph of the same formula is 0.166 eV per atom. The calculation puts the formation energy without anion corrections at -1.892 eV/atom. The calculation puts the total magnetic moment at 0.0 μB/f.u.

The following is a PBE calculation of an optimized crystal structure of Ba3ZrF, from Alexandria.

The structure belongs to space group Pm-3m (No. 221); the cell edges are 5.6215, 5.6215 and 5.6215 Å and the angles 90.00°, 90.00° and 90.00°. Symmetry generates all atoms from Ba at (0.0000, 0.0000, 0.5000), Zr at (0.5000, 0.5000, 0.5000) and F at (0.0000, 0.0000, 0.0000).

Its distance to the lowest polymorph of the same formula is 0.000 eV per atom. The calculation puts the formation energy without anion corrections at -0.665 eV/atom. The calculation puts the total magnetic moment at 1.4 μB/f.u.

The following is a PBE calculation of an optimized crystal structure of Ba2ZrF8, from Alexandria.

The structure belongs to space group C2/m (No. 12); the cell edges are 16.8891, 4.0657 and 5.4226 Å and the angles 90.00°, 107.30° and 90.00°. Symmetry generates all atoms from Ba at (0.1652, 0.0000, 0.1689), Zr at (0.0000, 0.5000, 0.5000), F at (0.0091, 0.0000, 0.2973), F at (0.0879, 0.5000, 0.8572), F at (0.1083, 0.5000, 0.3991) and F at (0.2307, 0.0000, 0.7470).

Its distance to the lowest polymorph of the same formula is 0.087 eV per atom. The calculation puts the formation energy without anion corrections at -3.767 eV/atom. The calculation puts the total magnetic moment at 0.2 μB/f.u.